# 1
The following is a DFT calculation (PBE-GGA) of InGaFe2C after structural relaxation.

Structure (CIF):
```
data_InGaFe2C
_chemical_formula_sum 'In1 Ga1 Fe2 C1'
_space_group_name_H-M_alt 'P 1'
_space_group_IT_number 1
_cell_length_a 4.986
_cell_length_b 4.099
_cell_length_c 4.986
_cell_angle_alpha 90.00
_cell_angle_beta 90.00
_cell_angle_gamma 90.00
loop_
_space_group_symop_operation_xyz
'x,y,z'
loop_
_atom_site_label
_atom_site_type_symbol
_atom_site_fract_x
_atom_site_fract_y
_atom_site_fract_z
_atom_site_occupancy
In1 In 0.000 0.000 0.000 1
C1 C 0.000 0.500 0.000 1
Fe1 Fe 0.000 0.000 0.500 1
Fe2 Fe 0.500 0.000 0.000 1
Ga1 Ga 0.500 0.500 0.500 1
```

# 2
# YTeSe2 (PBE-GGA, relaxed)
data_YTeSe2
_chemical_formula_sum 'Y1 Te1 Se2'
_space_group_name_H-M_alt 'P 1'
_space_group_IT_number 1
_cell_length_a 8.056
_cell_length_b 8.056
_cell_length_c 4.038
_cell_angle_alpha 75.95
_cell_angle_beta 75.95
_cell_angle_gamma 28.51
loop_
_space_group_symop_operation_xyz
'x,y,z'
loop_
_atom_site_label
_atom_site_type_symbol
_atom_site_fract_x
_atom_site_fract_y
_atom_site_fract_z
_atom_site_occupancy
Se1 Se 0.965 0.965 0.038 1
Se2 Se 0.747 0.747 0.749 1
Te1 Te 0.479 0.479 0.524 1
Y1 Y 0.309 0.309 0.189 1
# energy relative to the elements, uncorrected = -1.056 eV per atom

# 3
# Y2Th2Sc5 (PBE-GGA, relaxed)
data_Y2Th2Sc5
_chemical_formula_sum 'Y2 Th2 Sc5'
_space_group_name_H-M_alt 'P 1'
_space_group_IT_number 1
_cell_length_a 3.335
_cell_length_b 7.642
_cell_length_c 12.231
_cell_angle_alpha 121.11
_cell_angle_beta 97.81
_cell_angle_gamma 90.01
loop_
_space_group_symop_operation_xyz
'x,y,z'
loop_
_atom_site_label
_atom_site_type_symbol
_atom_site_fract_x
_atom_site_fract_y
_atom_site_fract_z
_atom_site_occupancy
Y1 Y 0.186 0.234 0.372 1
Y2 Y 0.814 0.766 0.628 1
Sc1 Sc 0.095 0.457 0.191 1
Sc2 Sc 0.692 0.845 0.384 1
Sc3 Sc 0.308 0.155 0.616 1
Sc4 Sc 0.000 0.000 0.000 1
Sc5 Sc 0.905 0.543 0.809 1
Th1 Th 0.446 0.239 0.893 1
Th2 Th 0.554 0.761 0.107 1
# energy above the lowest structure with this stoichiometry = 102 meV/atom

# 4
# AcLa6Hg2 (PBE-GGA, relaxed)
data_AcLa6Hg2
_chemical_formula_sum 'Ac1 La6 Hg2'
_space_group_name_H-M_alt 'P 1'
_space_group_IT_number 1
_cell_length_a 3.950
_cell_length_b 6.943
_cell_length_c 12.364
_cell_angle_alpha 75.36
_cell_angle_beta 80.81
_cell_angle_gamma 73.47
loop_
_space_group_symop_operation_xyz
'x,y,z'
loop_
_atom_site_label
_atom_site_type_symbol
_atom_site_fract_x
_atom_site_fract_y
_atom_site_fract_z
_atom_site_occupancy
Hg1 Hg 0.652 0.909 0.787 1
Hg2 Hg 0.348 0.091 0.213 1
La1 La 0.314 0.497 0.875 1
La2 La 0.314 0.787 0.586 1
La3 La 0.686 0.213 0.414 1
La4 La 0.980 0.704 0.336 1
La5 La 0.686 0.503 0.125 1
La6 La 0.020 0.296 0.664 1
Ac1 Ac 0.000 0.000 0.000 1
# energy above the lowest structure with this stoichiometry = 0 meV/atom

# 5
# Ba2UTaS6 (PBE-GGA, relaxed)
data_Ba2UTaS6
_chemical_formula_sum 'Ba4 U2 Ta2 S12'
_space_group_name_H-M_alt 'P 1'
_space_group_IT_number 1
_cell_length_a 7.064
_cell_length_b 7.064
_cell_length_c 12.738
_cell_angle_alpha 73.90
_cell_angle_beta 73.90
_cell_angle_gamma 60.00
loop_
_space_group_symop_operation_xyz
'x,y,z'
loop_
_atom_site_label
_atom_site_type_symbol
_atom_site_fract_x
_atom_site_fract_y
_atom_site_fract_z
_atom_site_occupancy
S1 S 0.629 0.124 0.618 1
S2 S 0.371 0.371 0.382 1
S3 S 0.202 0.715 0.881 1
S4 S 0.202 0.202 0.881 1
S5 S 0.371 0.876 0.382 1
S6 S 0.285 0.798 0.119 1
S7 S 0.798 0.798 0.119 1
S8 S 0.798 0.285 0.119 1
S9 S 0.715 0.202 0.881 1
S10 S 0.124 0.629 0.618 1
S11 S 0.876 0.371 0.382 1
S12 S 0.629 0.629 0.618 1
Ta1 Ta 0.500 0.500 0.500 1
Ta2 Ta 0.000 0.000 0.000 1
Ba1 Ba 0.131 0.131 0.606 1
Ba2 Ba 0.703 0.703 0.890 1
Ba3 Ba 0.297 0.297 0.110 1
Ba4 Ba 0.869 0.869 0.394 1
U1 U 0.585 0.585 0.245 1
U2 U 0.415 0.415 0.755 1
# energy relative to the elements, uncorrected = -1.578 eV per atom

# 6
The following is a DFT calculation (PBE-GGA) of Y2AgGePd after structural relaxation.

Structure (CIF):
```
data_Y2AgGePd
_chemical_formula_sum 'Y2 Ag1 Ge1 Pd1'
_space_group_name_H-M_alt 'P 1'
_space_group_IT_number 1
_cell_length_a 5.376
_cell_length_b 4.867
_cell_length_c 5.376
_cell_angle_alpha 90.00
_cell_angle_beta 90.00
_cell_angle_gamma 90.00
loop_
_space_group_symop_operation_xyz
'x,y,z'
loop_
_atom_site_label
_atom_site_type_symbol
_atom_site_fract_x
_atom_site_fract_y
_atom_site_fract_z
_atom_site_occupancy
Pd1 Pd 0.000 0.500 0.000 1
Ag1 Ag 0.000 0.000 0.000 1
Ge1 Ge 0.500 0.500 0.500 1
Y1 Y 0.000 0.000 0.500 1
Y2 Y 0.500 0.000 0.000 1
```

# 7
# AuC2 (PBE-GGA, relaxed)
data_AuC2
_chemical_formula_sum 'Au2 C4'
_space_group_name_H-M_alt 'P 1'
_space_group_IT_number 1
_cell_length_a 6.350
_cell_length_b 6.350
_cell_length_c 6.350
_cell_angle_alpha 155.64
_cell_angle_beta 94.55
_cell_angle_gamma 90.55
loop_
_space_group_symop_operation_xyz
'x,y,z'
loop_
_atom_site_label
_atom_site_type_symbol
_atom_site_fract_x
_atom_site_fract_y
_atom_site_fract_z
_atom_site_occupancy
Au1 Au 0.639 0.389 0.250 1
Au2 Au 0.361 0.611 0.750 1
C1 C 0.808 0.058 0.750 1
C2 C 0.041 0.791 0.250 1
C3 C 0.192 0.942 0.250 1
C4 C 0.959 0.209 0.750 1
# energy above the lowest structure with this stoichiometry = 648 meV/atom

# 8
# CaFeP2 (PBE-GGA, relaxed)
data_CaFeP2
_chemical_formula_sum 'Ca2 Fe2 P4'
_space_group_name_H-M_alt 'P 1'
_space_group_IT_number 1
_cell_length_a 6.664
_cell_length_b 6.664
_cell_length_c 5.864
_cell_angle_alpha 55.37
_cell_angle_beta 55.37
_cell_angle_gamma 90.00
loop_
_space_group_symop_operation_xyz
'x,y,z'
loop_
_atom_site_label
_atom_site_type_symbol
_atom_site_fract_x
_atom_site_fract_y
_atom_site_fract_z
_atom_site_occupancy
Ca1 Ca 0.500 0.500 0.000 1
Ca2 Ca 0.250 0.750 0.500 1
P1 P 0.029 0.625 0.250 1
P2 P 0.375 0.279 0.750 1
P3 P 0.721 0.125 0.250 1
P4 P 0.875 0.971 0.750 1
Fe1 Fe 0.750 0.250 0.500 1
Fe2 Fe 0.000 0.000 0.000 1
# energy above the lowest structure with this stoichiometry = 192 meV/atom

Looking at calculated total energy for the records above, in order, we have -4.416, -5.200, -6.354, -4.028, -6.753, -4.831, -6.328, -5.769 eV/atom.